(A)
Pm5Sm3Dy4: optimized geometry, PBE-GGA.

a b c (Å): 5.8497 5.7034 14.5433
angles (deg): 84.13 78.40 59.15
Fractional positions:
1 Pm 0.6685 0.6631 0.9998
2 Pm 0.5000 0.5000 0.5000
3 Pm 0.2036 0.3418 0.2510
4 Pm 0.7964 0.6582 0.7490
5 Pm 0.3315 0.3369 0.0002
6 Sm 0.4559 0.3388 0.7494
7 Sm 0.0000 0.5000 0.5000
8 Sm 0.5441 0.6612 0.2506
9 Dy 0.0618 0.9994 0.8769
10 Dy 0.1783 0.9988 0.6447
11 Dy 0.8217 0.0012 0.3553
12 Dy 0.9382 0.0006 0.1231

Output
Magnetization   0.00 μB per atom
Calculated volume   408.0 Å³/f.u.


(B)
Pm5Sm3Dy4: optimized geometry, PBE-GGA.

a b c (Å): 7.2128 11.4122 13.0105
angles (deg): 151.29 56.31 129.27
Fractional positions:
1 Pm 0.3350 0.6672 0.8324
2 Pm 0.5000 0.0000 0.5000
3 Pm 0.7487 0.5010 0.0009
4 Pm 0.2513 0.4990 0.9991
5 Pm 0.6650 0.3328 0.1676
6 Sm 0.5866 0.1684 0.3336
7 Sm 0.0000 0.0000 0.5000
8 Sm 0.4134 0.8316 0.6664
9 Dy 0.9169 0.8324 0.6672
10 Dy 0.8355 0.6689 0.8337
11 Dy 0.1645 0.3311 0.1663
12 Dy 0.0831 0.1676 0.3328

Output
Magnetization   0.00 μB per atom
Calculated volume   398.3 Å³/f.u.


(B) comes first in stability; the runner-up is 0.204 eV/atom higher.


(A)
Pm6Sm3Dy2: optimized geometry, PBE-GGA.

a b c (Å): 3.6280 3.6280 32.6271
angles (deg): 86.81 86.81 60.00
Fractional positions:
1 Pm 0.9085 0.9085 0.2746
2 Pm 0.0915 0.0915 0.7254
3 Pm 0.8179 0.8179 0.5462
4 Pm 0.1821 0.1821 0.4538
5 Pm 0.6362 0.6362 0.0915
6 Pm 0.3638 0.3638 0.9085
7 Sm 0.0000 0.0000 0.0000
8 Sm 0.7276 0.7276 0.8171
9 Sm 0.2724 0.2724 0.1829
10 Dy 0.5453 0.5453 0.3642
11 Dy 0.4547 0.4547 0.6358

Output
Magnetization   0.00 μB per atom
Calculated volume   371.1 Å³/f.u.


(B)
Pm6Sm3Dy2: optimized geometry, PBE-GGA.

a b c (Å): 4.8072 4.8072 17.1884
angles (deg): 98.04 98.04 90.00
Fractional positions:
1 Pm 0.1199 0.6199 0.2398
2 Pm 0.6199 0.1199 0.2398
3 Pm 0.8801 0.3801 0.7602
4 Pm 0.3801 0.8801 0.7602
5 Pm 0.6989 0.6989 0.3978
6 Pm 0.3011 0.3011 0.6022
7 Sm 0.0000 0.0000 0.0000
8 Sm 0.8009 0.8009 0.6017
9 Sm 0.1991 0.1991 0.3983
10 Dy 0.4546 0.4546 0.9093
11 Dy 0.5454 0.5454 0.0907

Output
Magnetization   0.00 μB per atom
Calculated volume   389.4 Å³/f.u.


(A) comes first in stability; the runner-up is 0.264 eV/atom higher.


(A)
Pm7SmDy4: optimized geometry, PBE-GGA.

a b c (Å): 7.2850 9.6409 8.9869
angles (deg): 81.09 89.99 40.92
Fractional positions:
1 Pm 0.7523 0.5001 0.0010
2 Pm 0.2477 0.4999 0.9990
3 Pm 0.9711 0.2801 0.6649
4 Pm 0.0289 0.7199 0.3351
5 Pm 0.2215 0.7782 0.6658
6 Pm 0.5000 0.0000 0.0000
7 Pm 0.7785 0.2218 0.3342
8 Sm 0.0000 0.0000 0.0000
9 Dy 0.5309 0.7216 0.3333
10 Dy 0.4691 0.2784 0.6667
11 Dy 0.7193 0.7806 0.6655
12 Dy 0.2807 0.2194 0.3345

Output
Magnetization   0.00 μB per atom
Calculated volume   401.7 Å³/f.u.


(B)
Pm7SmDy4: optimized geometry, PBE-GGA.

a b c (Å): 5.9868 9.7627 8.6197
angles (deg): 61.22 69.68 72.14
Site moments in Bohr magnetons follow the coordinates.
Fractional positions:
1 Pm 0.7863 0.8817 0.5456  0.00
2 Pm 0.2137 0.1183 0.4544  0.00
3 Pm 0.0841 0.5533 0.2785  0.00
4 Pm 0.9159 0.4467 0.7215  0.00
5 Pm 0.2101 0.7663 0.8134  0.00
6 Pm 0.5000 0.0000 0.0000  0.06
7 Pm 0.7899 0.2337 0.1866  0.00
8 Sm 0.0000 0.0000 0.0000  0.05
9 Dy 0.5723 0.3019 0.5536  0.00
10 Dy 0.4277 0.6981 0.4464  0.00
11 Dy 0.6712 0.6131 0.0446  0.00
12 Dy 0.3288 0.3869 0.9554  0.00

Output
Magnetization   0.01 μB per atom
Calculated volume   408.1 Å³/f.u.


(A) comes first in stability; the runner-up is 0.205 eV/atom higher.


(A)
Pm12SmDy7: optimized geometry, PBE-GGA.

a b c (Å): 6.1929 11.5238 11.5238
angles (deg): 116.86 100.32 100.32
Fractional positions:
1 Pm 0.0876 0.5871 0.1743
2 Pm 0.0867 0.1743 0.5872
3 Pm 0.5854 0.6458 0.0004
4 Pm 0.4150 0.0004 0.3546
5 Pm 0.4995 0.4128 0.5871
6 Pm 0.0604 0.6454 0.6458
7 Pm 0.9396 0.3546 0.3542
8 Pm 0.5005 0.5872 0.4129
9 Pm 0.5850 0.9996 0.6454
10 Pm 0.4146 0.3542 0.9996
11 Pm 0.9133 0.8257 0.4128
12 Pm 0.9124 0.4129 0.8257
13 Sm 0.0000 0.0000 0.0000
14 Dy 0.1277 0.7544 0.0003
15 Dy 0.8726 0.0003 0.2459
16 Dy 0.6267 0.7541 0.7544
17 Dy 0.5000 0.0000 0.0000
18 Dy 0.3733 0.2459 0.2456
19 Dy 0.1274 0.9997 0.7541
20 Dy 0.8723 0.2456 0.9997

Output
Magnetization   0.00 μB per atom
Calculated volume   689.4 Å³/f.u.


(B)
Pm12SmDy7: optimized geometry, PBE-GGA.

a b c (Å): 8.8530 8.8530 8.8530
angles (deg): 98.42 98.42 98.42
Fractional positions:
1 Pm 0.7619 0.2381 0.5000
2 Pm 0.7619 0.5000 0.2381
3 Pm 0.3571 0.0908 0.3572
4 Pm 0.9092 0.6428 0.6429
5 Pm 0.5000 0.2381 0.7619
6 Pm 0.6428 0.6429 0.9092
7 Pm 0.3572 0.3571 0.0908
8 Pm 0.5000 0.7619 0.2381
9 Pm 0.0908 0.3572 0.3571
10 Pm 0.6429 0.9092 0.6428
11 Pm 0.2381 0.5000 0.7619
12 Pm 0.2381 0.7619 0.5000
13 Sm 0.0000 0.0000 0.0000
14 Dy 0.0948 0.6605 0.0948
15 Dy 0.3395 0.9052 0.9052
16 Dy 0.9052 0.9052 0.3395
17 Dy 0.5000 0.5000 0.5000
18 Dy 0.0948 0.0948 0.6605
19 Dy 0.6605 0.0948 0.0948
20 Dy 0.9052 0.3395 0.9052

Output
Magnetization   0.00 μB per atom
Calculated volume   668.9 Å³/f.u.


(B) comes first in stability; the runner-up is 0.152 eV/atom higher.


(A)
Pm3Sm2Dy5: optimized geometry, PBE-GGA.

a b c (Å): 10.9607 9.9539 9.9539
angles (deg): 56.52 56.59 56.59
Fractional positions:
1 Pm 0.2500 0.0000 0.0000
2 Pm 0.7500 0.0000 0.0000
3 Pm 0.3727 0.3773 0.8772
4 Pm 0.6273 0.6227 0.1228
5 Pm 0.8727 0.8772 0.3773
6 Pm 0.1273 0.1228 0.6227
7 Sm 0.1252 0.7750 0.9745
8 Sm 0.8748 0.2250 0.0255
9 Sm 0.6252 0.9745 0.7750
10 Sm 0.3748 0.0255 0.2250
11 Dy 0.2500 0.5000 0.5000
12 Dy 0.7500 0.5000 0.5000
13 Dy 0.5016 0.7484 0.7484
14 Dy 0.9984 0.2516 0.2516
15 Dy 0.4984 0.2516 0.2516
16 Dy 0.0016 0.7484 0.7484
17 Dy 0.1230 0.4665 0.2874
18 Dy 0.8770 0.5335 0.7126
19 Dy 0.6230 0.2874 0.4665
20 Dy 0.3770 0.7126 0.5335

Output
Magnetization   0.00 μB per atom
Calculated volume   353.5 Å³/f.u.


(B)
Pm3Sm2Dy5: optimized geometry, PBE-GGA.

a b c (Å): 9.3858 9.3883 11.1688
angles (deg): 124.50 124.49 69.66
Fractional positions:
1 Pm 0.2313 0.9813 0.9625
2 Pm 0.7687 0.0187 0.0375
3 Pm 0.7300 0.4716 0.2498
4 Pm 0.2700 0.5284 0.7502
5 Pm 0.0198 0.7781 0.2498
6 Pm 0.9802 0.2219 0.7502
7 Sm 0.7723 0.0142 0.7411
8 Sm 0.2277 0.9858 0.2589
9 Sm 0.4688 0.7269 0.7411
10 Sm 0.5312 0.2731 0.2589
11 Dy 0.2740 0.5240 0.0481
12 Dy 0.7260 0.4760 0.9519
13 Dy 0.0236 0.7736 0.5471
14 Dy 0.5278 0.2778 0.5557
15 Dy 0.9764 0.2264 0.4529
16 Dy 0.4722 0.7222 0.4443
17 Dy 0.8599 0.6076 0.7377
18 Dy 0.1401 0.3924 0.2623
19 Dy 0.3778 0.1301 0.7377
20 Dy 0.6222 0.8699 0.2623

Output
Magnetization   0.00 μB per atom
Calculated volume   334.0 Å³/f.u.


(B) comes first in stability; the runner-up is 0.201 eV/atom higher.


(A)
PmSm3Dy: optimized geometry, PBE-GGA.

a b c (Å): 6.3407 9.6876 9.3528
angles (deg): 137.72 89.97 109.12
Fractional positions:
1 Pm 0.4669 0.1005 0.2523
2 Pm 0.5331 0.8995 0.7477
3 Sm 0.2666 0.6982 0.2465
4 Sm 0.9359 0.7017 0.7532
5 Sm 0.6666 0.5009 0.2514
6 Sm 0.3334 0.4991 0.7486
7 Sm 0.7334 0.3018 0.7535
8 Sm 0.0641 0.2983 0.2468
9 Dy 0.1344 0.0986 0.7471
10 Dy 0.8656 0.9014 0.2529

Output
Magnetization   0.00 μB per atom
Calculated volume   168.9 Å³/f.u.


(B)
PmSm3Dy: optimized geometry, PBE-GGA.

a b c (Å): 3.6303 8.6382 11.8099
angles (deg): 90.00 90.00 102.13
Fractional positions:
1 Pm 0.3082 0.1198 0.2500
2 Pm 0.6918 0.8802 0.7500
3 Sm 0.8499 0.1996 0.0000
4 Sm 0.1501 0.8004 0.0000
5 Sm 0.8499 0.1996 0.5000
6 Sm 0.1501 0.8004 0.5000
7 Sm 0.6441 0.7906 0.2500
8 Sm 0.3559 0.2094 0.7500
9 Dy 0.9770 0.4609 0.2500
10 Dy 0.0230 0.5391 0.7500

Output
Magnetization   0.00 μB per atom
Calculated volume   181.0 Å³/f.u.


(A) comes first in stability; the runner-up is 0.288 eV/atom higher.


(A)
Pm2Sm2Dy: optimized geometry, PBE-GGA.

a b c (Å): 5.7949 3.6363 16.4802
angles (deg): 96.33 100.13 90.00
Fractional positions:
1 Pm 0.5431 0.2931 0.0862
2 Pm 0.9424 0.1924 0.8849
3 Pm 0.4569 0.7069 0.9138
4 Pm 0.0576 0.8076 0.1151
5 Sm 0.7290 0.9790 0.4580
6 Sm 0.2710 0.0210 0.5420
7 Sm 0.3688 0.1188 0.7377
8 Sm 0.6312 0.8812 0.2623
9 Dy 0.8279 0.5779 0.6558
10 Dy 0.1721 0.4221 0.3442

Output
Magnetization   0.00 μB per atom
Calculated volume   169.9 Å³/f.u.


(B)
Pm2Sm2Dy: optimized geometry, PBE-GGA.

a b c (Å): 6.1671 10.0097 8.7063
angles (deg): 42.48 69.26 72.06
Fractional positions:
1 Pm 0.7467 0.9227 0.6855
2 Pm 0.3548 0.5773 0.8145
3 Pm 0.2533 0.0773 0.3145
4 Pm 0.6452 0.4227 0.1855
5 Sm 0.8262 0.1461 0.0461
6 Sm 0.0183 0.3539 0.4539
7 Sm 0.1738 0.8539 0.9539
8 Sm 0.9817 0.6461 0.5461
9 Dy 0.5711 0.7500 0.2500
10 Dy 0.4289 0.2500 0.7500

Output
Magnetization   0.00 μB per atom
Calculated volume   169.2 Å³/f.u.


(B) comes first in stability; the runner-up is 0.063 eV/atom higher.


(A)
Pm2Sm8Dy3: optimized geometry, PBE-GGA.

a b c (Å): 5.6727 7.6916 11.0076
angles (deg): 110.49 90.00 90.00
Fractional positions:
1 Pm 0.4998 0.2415 0.4814
2 Pm 0.5002 0.7585 0.5186
3 Sm 0.0002 0.6685 0.3362
4 Sm 0.9998 0.3315 0.6638
5 Sm 0.0000 0.1309 0.2612
6 Sm 0.0000 0.8691 0.7388
7 Sm 0.4999 0.6022 0.7903
8 Sm 0.4999 0.1869 0.7898
9 Sm 0.5001 0.8131 0.2102
10 Sm 0.5001 0.3978 0.2097
11 Dy 0.5000 0.0000 0.0000
12 Dy 0.0000 0.2860 0.9999
13 Dy 0.0000 0.7140 0.0001

Output
Magnetization   0.00 μB per atom
Calculated volume   449.9 Å³/f.u.


(B)
Pm2Sm8Dy3: optimized geometry, PBE-GGA.

a b c (Å): 6.2586 6.2534 11.9861
angles (deg): 69.64 85.01 80.43
Fractional positions:
1 Pm 0.7694 0.8453 0.5391
2 Pm 0.2306 0.1547 0.4609
3 Sm 0.0781 0.3873 0.1517
4 Sm 0.9219 0.6127 0.8483
5 Sm 0.1550 0.7720 0.3051
6 Sm 0.8450 0.2280 0.6949
7 Sm 0.3831 0.9204 0.7720
8 Sm 0.3078 0.5364 0.6172
9 Sm 0.6922 0.4636 0.3828
10 Sm 0.6169 0.0796 0.2280
11 Dy 0.0000 0.0000 0.0000
12 Dy 0.4615 0.3058 0.9243
13 Dy 0.5385 0.6942 0.0757

Output
Magnetization   0.00 μB per atom
Calculated volume   433.5 Å³/f.u.


(B) comes first in stability; the runner-up is 0.199 eV/atom higher.


(A)
Pm4Sm3Dy2: optimized geometry, PBE-GGA.

a b c (Å): 3.6273 3.6273 26.8788
angles (deg): 90.00 90.00 120.00
Fractional positions:
1 Pm 0.0000 0.0000 0.5442
2 Pm 0.6667 0.3333 0.4339
3 Pm 0.6667 0.3333 0.2142
4 Pm 0.0000 0.0000 0.7663
5 Sm 0.0000 0.0000 0.9822
6 Sm 0.0000 0.0000 0.3213
7 Sm 0.6667 0.3333 0.6550
8 Dy 0.6667 0.3333 0.0868
9 Dy 0.6667 0.3333 0.8732

Output
Magnetization   0.00 μB per atom
Calculated volume   306.3 Å³/f.u.


(B)
Pm4Sm3Dy2: optimized geometry, PBE-GGA.

a b c (Å): 3.6226 6.2590 15.3330
angles (deg): 65.96 90.00 106.82
Fractional positions:
1 Pm 0.6672 0.3344 0.1114
2 Pm 0.0005 0.0009 0.6673
3 Pm 0.9995 0.9991 0.3327
4 Pm 0.3328 0.6656 0.8886
5 Sm 0.3328 0.6657 0.5564
6 Sm 0.0000 0.0000 0.0000
7 Sm 0.6672 0.3343 0.4436
8 Dy 0.3334 0.6667 0.2221
9 Dy 0.6666 0.3333 0.7779

Output
Magnetization   0.00 μB per atom
Calculated volume   301.1 Å³/f.u.


(B) comes first in stability; the runner-up is 0.051 eV/atom higher.


(A)
PmSmDyTh: optimized geometry, PBE-GGA.

a b c (Å): 3.5975 3.5975 10.2150
angles (deg): 90.00 90.00 90.00
Fractional positions:
1 Pm 0.0000 0.0000 0.0747
2 Sm 0.5000 0.5000 0.8115
3 Dy 0.5000 0.5000 0.3301
4 Th 0.0000 0.0000 0.5685

Output
Magnetization   0.00 μB per atom
Calculated volume   132.2 Å³/f.u.


(B)
PmSmDyTh: optimized geometry, PBE-GGA.

a b c (Å): 5.7199 5.7199 5.7199
angles (deg): 60.00 60.00 60.00
Fractional positions:
1 Pm 0.5000 0.5000 0.5000
2 Sm 0.2500 0.2500 0.2500
3 Th 0.7500 0.7500 0.7500
4 Dy 0.0000 0.0000 0.0000

Output
Magnetization   0.00 μB per atom
Calculated volume   132.3 Å³/f.u.


(A) comes first in stability; the runner-up is 0.149 eV/atom higher.